Entry 1:
Compound: Pr2Y3Er2
Source: Alexandria
Functional: PBE-GGA
Structure: relaxed

It has space group P-1 (No. 2), with a = 3.591 Å, b = 8.046 Å, c = 8.811 Å, α = 111.75°, β = 90.10° and γ = 102.88°. The asymmetric unit holds Pr at (0.215, 0.430, 0.145), Y at (0.359, 0.718, 0.571), Y at (0.500, 0.000, 0.000) and Er at (0.070, 0.140, 0.712).

The distance to the lowest polymorph of the same formula is 0.0 meV per atom. As for the formation energy: 0.0199 eV/atom.

***

Entry 2:
Compound: PmAgGeBi
Source: Alexandria
Functional: PBE-GGA
Structure: relaxed

It has space group F-43m (No. 216), with a = 7.356 Å, b = 7.356 Å, c = 7.356 Å, α = 90.00°, β = 90.00° and γ = 90.00°. The asymmetric unit holds Pm at (0.000, 0.000, 0.000), Ag at (0.250, 0.250, 0.250), Ge at (0.250, 0.250, 0.750) and Bi at (0.000, 0.000, 0.500).

As for the formation energy: -0.2281 eV/atom.

***

Entry 3:
Compound: NiBi2Pb2
Source: Alexandria
Functional: PBE-GGA
Structure: relaxed

It has space group P4/mbm (No. 127), with a = 6.976 Å, b = 6.976 Å, c = 5.830 Å, α = 90.00°, β = 90.00° and γ = 90.00°. The asymmetric unit holds Ni at (0.000, 0.000, 0.000), Bi at (0.166, 0.334, 0.500) and Pb at (0.166, 0.666, 0.000).

The distance to the lowest polymorph of the same formula is 105.4 meV per atom. As for the formation energy: 0.2721 eV/atom.

***

Entry 4:
Compound: CsHfS3
Source: Alexandria
Functional: PBE-GGA
Structure: relaxed

It has space group P1 (No. 1), with a = 6.564 Å, b = 7.665 Å, c = 7.930 Å, α = 62.90°, β = 85.54° and γ = 85.70°. The asymmetric unit holds Cs at (0.000, 0.000, 0.000), Cs at (0.443, 0.602, 0.743), Hf at (0.249, 0.226, 0.384), Hf at (0.767, 0.258, 0.398), S at (0.015, 0.963, 0.527), S at (0.031, 0.431, 0.528), S at (0.044, 0.408, 0.114), S at (0.485, 0.165, 0.645), S at (0.555, 0.210, 0.185) and S at (0.779, 0.595, 0.378).

The distance to the lowest polymorph of the same formula is 58.9 meV per atom. As for the energy relative to the elements, uncorrected: -6.69 eV/f.u.

***

Entry 5:
Compound: AlCu2Ni
Source: Alexandria
Functional: PBE-GGA
Structure: relaxed

It has space group Pmm2 (No. 25), with a = 2.709 Å, b = 3.359 Å, c = 5.323 Å, α = 90.00°, β = 90.00° and γ = 90.00°. The asymmetric unit holds Al at (0.000, 0.000, 0.000), Cu at (0.000, 0.000, 0.513), Cu at (0.500, 0.500, 0.270) and Ni at (0.500, 0.500, 0.769).

As for the formation energy: -0.2565 eV/atom.

***

Entry 6:
Compound: NaLi2CdAu
Source: Alexandria
Functional: PBE-GGA
Structure: relaxed

It has space group P4/mmm (No. 123), with a = 4.965 Å, b = 4.965 Å, c = 5.339 Å, α = 90.00°, β = 90.00° and γ = 90.00°. The asymmetric unit holds Na at (0.000, 0.000, 0.000), Li at (0.000, 0.500, 0.500), Cd at (0.500, 0.500, 0.000) and Au at (0.500, 0.500, 0.500).

As for the formation energy: -0.1657 eV/atom.

***

Entry 7:
Compound: LiNd3Pd2
Source: Alexandria
Functional: PBE-GGA
Structure: relaxed

It has space group Ibam (No. 72), with a = 6.731 Å, b = 13.241 Å, c = 7.585 Å, α = 90.00°, β = 90.00° and γ = 90.00°. The asymmetric unit holds Li at (0.000, 0.000, 0.000), Nd at (0.000, 0.211, 0.250), Nd at (0.000, 0.500, 0.250) and Pd at (0.195, 0.359, 0.000).

As for the formation energy: -0.4360 eV/atom.

***

Entry 8:
Compound: TbSm2Ge2
Source: Alexandria
Functional: PBE-GGA
Structure: relaxed

It has space group C2/m (No. 12), with a = 12.431 Å, b = 4.421 Å, c = 10.693 Å, α = 90.00°, β = 116.63° and γ = 90.00°. The asymmetric unit holds Tb at (0.219, 0.000, 0.360), Sm at (0.016, 0.500, 0.687), Sm at (0.180, 0.500, 0.087), Ge at (0.025, 0.000, 0.893) and Ge at (0.117, 0.000, 0.563).

The distance to the lowest polymorph of the same formula is 85.2 meV per atom. As for the formation energy: -0.6929 eV/atom.

***

Entry 9:
Compound: EuTmIn2
Source: Alexandria
Functional: PBE-GGA
Structure: relaxed

It has space group R-3m (No. 166, hexagonal axes), with a = 3.6768 Å, b = 3.6768 Å, c = 30.4639 Å, α = 90.00°, β = 90.00° and γ = 120.00°. The asymmetric unit holds Eu at (0.0000, 0.0000, 0.0000), Tm at (0.0000, 0.0000, 0.5000) and In at (0.0000, 0.0000, 0.2465).

As for the formation energy: -0.2799 eV/atom.

***

Entry 10:
Compound: GeBiB2H
Source: Alexandria
Functional: PBE-GGA
Structure: relaxed

It has space group P4/mmm (No. 123), with a = 4.330 Å, b = 4.330 Å, c = 3.724 Å, α = 90.00°, β = 90.00° and γ = 90.00°. The asymmetric unit holds Ge at (0.000, 0.000, 0.000), Bi at (0.500, 0.500, 0.000), B at (0.000, 0.500, 0.500) and H at (0.000, 0.000, 0.500).

As for the total DFT energy (no corrections): -3.52 eV/atom.

***

Entry 11:
Compound: Pm2Sm3Y5
Source: Alexandria
Functional: PBE-GGA
Structure: relaxed

It has space group Ibam (No. 72), with a = 9.394 Å, b = 22.038 Å, c = 6.894 Å, α = 90.00°, β = 90.00° and γ = 90.00°. The asymmetric unit holds Pm at (0.099, 0.122, 0.000), Sm at (0.000, 0.000, 0.250), Sm at (0.248, 0.372, 0.000), Y at (0.000, 0.248, 0.250), Y at (0.000, 0.500, 0.250) and Y at (0.090, 0.372, 0.500).

The distance to the lowest polymorph of the same formula is 219.5 meV per atom. As for the formation energy: 0.3972 eV/atom.

***

Entry 12:
Compound: Ho2BPd4Pt2
Source: Alexandria
Functional: PBE-GGA
Structure: relaxed

It has space group I4/mmm (No. 139), with a = 5.928 Å, b = 5.928 Å, c = 8.432 Å, α = 90.00°, β = 90.00° and γ = 90.00°. The asymmetric unit holds Ho at (0.000, 0.500, 0.250), B at (0.000, 0.000, 0.000), Pd at (0.241, 0.241, 0.500) and Pt at (0.000, 0.000, 0.250).

As for the formation energy: -0.9401 eV/atom.

***

Which mass density belongs to each record? In order, 6.4, 8.9, 10.4, 3.8, 7.3, 4.4, 6.4, 7.6, 7.7, 7.2, 5.5, 13.0 g/cm³.